Below is crystalline CaY7 at its relaxed geometry, with properties calculated at the PBEsol level.

Magnetization in μB/cell: 0.0
Density in g cm⁻³: 4.396
Uncorrected energy in eV per atom: -6.1640

POSCAR file:
```
CaY7
1.0
-4.9313 1.7429 -4.7615
-6.7902 0.4234 1.9340
-3.1891 6.3031 0.3568
Ca Y
1 7
Cartesian
0.0000 0.0000 0.0000 Ca
-1.5946 3.1516 0.1784 Y
-3.3951 0.2117 0.9670 Y
-2.4656 0.8715 -2.3807 Y
-5.8608 1.0832 -1.4137 Y
-4.0602 4.0230 -2.2023 Y
-4.9897 3.3632 1.1454 Y
-7.4553 4.2347 -1.2353 Y
```